Entry 1:
Density functional theory data (PBE) for crystalline NaLiV2Ge at its relaxed geometry.

Calculated values
* DFT formation energy: 1572 meV per atom
* SG: P4/mmm (123)
* crystal system: tetragonal

Lattice parameters (Å, degrees): 4.978 4.929 4.978 90.00 90.00 90.00
Each line ends with the local moment (μB).
Element x y z (fractional)
Li1 0.500 0.500 0.500  0.02
V1 0.000 0.000 0.500  3.06
Na1 0.000 0.000 0.000  0.06
Ge1 0.000 0.500 0.000  -0.19
V2 0.500 0.000 0.000  2.98

***

Entry 2:
Density functional theory data (PBE) for crystalline NaLi2GeW at its relaxed geometry.

Calculated values
* DFT formation energy: 1270 meV per atom
* SG: P4/mmm (123)
* crystal system: tetragonal

Lattice parameters (Å, degrees): 4.056 5.230 4.056 90.00 90.00 90.00
Each line ends with the local moment (μB).
Element x y z (fractional)
W1 0.000 0.500 0.000  0.07
Ge1 0.500 0.500 0.500  -0.01
Li1 0.500 0.000 0.000  0.00
Li2 0.000 0.000 0.500  0.00
Na1 0.000 0.000 0.000  0.00

***

Entry 3:
Density functional theory data (PBE) for crystalline NaLi2Zn2Ge2 at its relaxed geometry.

Calculated values
* DFT formation energy: -212 meV per atom
* SG: R-3m (166)
* crystal system: trigonal

Lattice parameters (Å, degrees): 4.272 4.272 8.947 76.19 76.19 60.00
Element x y z (fractional)
Li1 0.862 0.862 0.413
Zn1 0.577 0.577 0.268
Ge1 0.752 0.752 0.743
Na1 0.000 0.000 0.000
Li2 0.138 0.138 0.587
Zn2 0.423 0.423 0.732
Ge2 0.248 0.248 0.257

***

Entry 4:
Density functional theory data (PBE) for crystalline Na2LiZn3Ge4 at its relaxed geometry.

Calculated values
* DFT formation energy: -75 meV per atom
* SG: P-4m2 (115)
* crystal system: tetragonal

Lattice parameters (Å, degrees): 4.104 4.104 11.558 90.00 90.00 90.00
Element x y z (fractional)
Ge1 0.000 0.500 0.362
Li1 0.500 0.500 0.500
Na1 0.500 0.000 0.260
Na2 0.000 0.500 0.740
Ge2 0.500 0.500 0.000
Zn1 0.500 0.000 0.852
Ge3 0.500 0.000 0.638
Zn2 0.000 0.000 0.500
Ge4 0.000 0.000 0.000
Zn3 0.000 0.500 0.148

***

Entry 5:
Density functional theory data (PBE) for crystalline NaLi2ZnGe at its relaxed geometry.

Calculated values
* DFT formation energy: -52 meV per atom
* SG: P4/mmm (123)
* crystal system: tetragonal

Lattice parameters (Å, degrees): 4.961 4.961 4.839 90.00 90.00 90.00
Element x y z (fractional)
Li1 0.000 0.500 0.000
Zn1 0.000 0.000 0.500
Li2 0.500 0.000 0.000
Na1 0.500 0.500 0.500
Ge1 0.000 0.000 0.000

***

Entry 6:
Density functional theory data (PBE) for crystalline NaLiZnGe at its relaxed geometry.

Calculated values
* DFT formation energy: -143 meV per atom
* SG: F-43m (216)
* crystal system: cubic

Lattice parameters (Å, degrees): 4.590 4.590 4.590 60.00 60.00 60.00
Element x y z (fractional)
Ge1 0.500 0.500 0.500
Li1 0.750 0.750 0.750
Zn1 0.250 0.250 0.250
Na1 0.000 0.000 0.000

***

Entry 7:
Density functional theory data (PBE) for crystalline Li2NbGe2 at its relaxed geometry.

Calculated values
* DFT formation energy: -169 meV per atom
* SG: P4/mbm (127)
* energy relative to the lowest polymorph listed for this composition: 0.0255 eV per atom
* crystal system: tetragonal

Lattice parameters (Å, degrees): 7.364 7.364 2.889 90.00 90.00 90.00
Element x y z (fractional)
Ge1 0.829 0.671 0.000
Ge2 0.671 0.171 0.000
Li1 0.129 0.629 0.500
Li2 0.629 0.871 0.500
Li3 0.371 0.129 0.500
Ge3 0.171 0.329 0.000
Li4 0.871 0.371 0.500
Nb1 0.500 0.500 0.000
Nb2 0.000 0.000 0.000
Ge4 0.329 0.829 0.000

***

Entry 8:
Density functional theory data (PBE) for crystalline Li2NbGe2 at its relaxed geometry.

Calculated values
* DFT formation energy: -195 meV per atom
* SG: I4/mmm (139)
* energy relative to the lowest polymorph listed for this composition: 0.0000 eV per atom
* crystal system: tetragonal

Lattice parameters (Å, degrees): 3.607 3.607 6.519 73.94 73.94 90.00
Element x y z (fractional)
Li1 0.750 0.250 0.500
Nb1 0.000 0.000 0.000
Ge1 0.602 0.602 0.796
Ge2 0.398 0.398 0.204
Li2 0.250 0.750 0.500

***

Results for density of states at the Fermi level: 1.92, 0.69, 0.47, 0.33, 0.23, 0.07, 0.40, 0.61 (in states/eV/atom, following the order of the records).